! CsBeSb2I PBE-GGA optimized geometry; values from VASP
&SYSTEM
  ibrav = 0, nat = 5, ntyp = 4
/
ATOMIC_SPECIES
Be 9.01 Be.upf
Sb 121.76 Sb.upf
I 126.90 I.upf
Cs 132.91 Cs.upf
ATOMIC_POSITIONS crystal
Be 0.500 0.500 0.500
Sb 0.000 0.500 0.000
Sb 0.500 0.000 0.000
I 0.000 0.000 0.500
Cs 0.000 0.000 0.000
CELL_PARAMETERS angstrom
6.562 0.000 0.000
0.000 6.562 0.000
0.000 0.000 6.891
! - excess energy over the best structure of this formula in the dataset (meV/atom) = 1520

---

Here is a relaxed CsBeSbI2 crystal from Alexandria. Energies are from PBE-GGA. Values from VASP.

Geometry as Quantum ESPRESSO input:
```
&SYSTEM
  ibrav = 0, nat = 5, ntyp = 4
/
ATOMIC_SPECIES
I 126.90 I.upf
Sb 121.76 Sb.upf
Cs 132.91 Cs.upf
Be 9.01 Be.upf
ATOMIC_POSITIONS crystal
I 0.500 0.000 0.000
I 0.000 0.500 0.000
Sb 0.000 0.000 0.500
Cs 0.500 0.500 0.500
Be 0.000 0.000 0.000
CELL_PARAMETERS angstrom
-5.918 -0.513 -1.467
-1.422 -0.542 5.926
-0.485 4.705 0.314
```

---

Here is a relaxed Cs2BeSnI6 crystal from Alexandria. Energies are from PBE-GGA. Values from VASP.

Geometry as Quantum ESPRESSO input:
```
&SYSTEM
  ibrav = 0, nat = 10, ntyp = 4
/
ATOMIC_SPECIES
Sn 118.71 Sn.upf
Cs 132.91 Cs.upf
I 126.90 I.upf
Be 9.01 Be.upf
ATOMIC_POSITIONS crystal
Sn 0.000 0.000 0.000
Cs 0.250 0.750 0.500
Cs 0.750 0.250 0.500
I 0.733 0.733 0.000
I 0.267 0.733 0.000
I 0.268 0.268 0.463
I 0.267 0.267 0.000
I 0.732 0.732 0.537
I 0.733 0.267 0.000
Be 0.500 0.500 0.000
CELL_PARAMETERS angstrom
8.374 0.000 0.000
0.000 8.374 0.000
4.187 4.187 5.901
```

---

Here is a relaxed Cs2SrBeI6 crystal from Alexandria. Energies are from PBE-GGA. Values from VASP.

Geometry as Quantum ESPRESSO input:
```
&SYSTEM
  ibrav = 0, nat = 10, ntyp = 4
/
ATOMIC_SPECIES
I 126.90 I.upf
Sr 87.62 Sr.upf
Cs 132.91 Cs.upf
Be 9.01 Be.upf
ATOMIC_POSITIONS crystal
I 0.271 0.271 0.000
I 0.729 0.271 0.000
I 0.271 0.729 0.000
I 0.728 0.728 0.544
I 0.272 0.272 0.456
I 0.729 0.729 0.000
Sr 0.000 0.000 0.000
Cs 0.250 0.750 0.500
Cs 0.750 0.250 0.500
Be 0.500 0.500 0.000
CELL_PARAMETERS angstrom
8.493 0.000 0.000
0.000 8.493 0.000
4.247 4.247 5.978
```

---

no.,ΔE_f (raw) (meV/atom)
1,1515
2,-251
3,-812
4,-1158